#P
The following is a PBE-GGA calculation of an optimized crystal structure of RbSF4, from the Alexandria database.

The structure in POSCAR format:
```
RbSF4
1.0
7.0001 0.0000 0.0000
0.0000 8.2588 0.0000
-6.2829 0.0000 7.6408
Rb S F
4 4 16
Direct
0.1063 0.0956 0.3193 Rb
0.1063 0.4044 0.8193 Rb
0.8937 0.5956 0.1807 Rb
0.8937 0.9044 0.6807 Rb
0.4333 0.6548 0.6959 S
0.4333 0.8452 0.1959 S
0.5667 0.1548 0.8041 S
0.5667 0.3452 0.3041 S
0.1171 0.6678 0.5913 F
0.1171 0.8322 0.0913 F
0.2517 0.1263 0.7107 F
0.2517 0.3737 0.2107 F
0.3661 0.5066 0.5660 F
0.3661 0.9934 0.0660 F
0.3771 0.6965 0.9926 F
0.3771 0.8035 0.4926 F
0.6229 0.1965 0.5074 F
0.6229 0.3035 0.0074 F
0.6339 0.0066 0.9340 F
0.6339 0.4934 0.4340 F
0.7483 0.6263 0.7893 F
0.7483 0.8737 0.2893 F
0.8829 0.1678 0.9087 F
0.8829 0.3322 0.4087 F
```

Results
Symmetry: P2_1/c


#Q
The following is a PBE-GGA calculation of an optimized crystal structure of RbSF4, from the Alexandria database.

The structure in POSCAR format:
```
RbSF4
1.0
-3.2594 3.2594 3.4760
3.2594 -3.2594 3.4760
3.2594 3.2594 -3.4760
Rb S F
1 1 4
Direct
0.0000 0.0000 0.0000 Rb
0.2500 0.7500 0.5000 S
0.0537 0.5537 0.1074 F
0.0537 0.9463 0.5000 F
0.4463 0.5537 0.5000 F
0.4463 0.9463 0.8926 F
```

Results
Symmetry: I-4m2


Which one sits at the bottom of the stability order? #P does.


#P
The following is a PBE-GGA calculation of an optimized crystal structure of RbS3F, from the Alexandria database.

The structure in POSCAR format:
```
RbS3F
1.0
6.1946 0.0000 0.0000
0.0000 6.1946 0.0000
0.0000 0.0000 6.1946
Rb S F
1 3 1
Direct
0.0000 0.0000 0.0000 Rb
0.0000 0.0000 0.5000 S
0.0000 0.5000 0.0000 S
0.5000 0.0000 0.0000 S
0.5000 0.5000 0.5000 F
```

Results
Symmetry: Pm-3m


#Q
The following is a PBE-GGA calculation of an optimized crystal structure of RbS3F, from the Alexandria database.

The structure in POSCAR format:
```
RbS3F
1.0
4.6675 0.0000 0.0000
0.0000 4.6675 0.0000
0.0000 0.0000 4.6675
Rb S F
1 3 1
Direct
0.0000 0.0000 0.0000 Rb
0.0000 0.5000 0.5000 S
0.5000 0.0000 0.5000 S
0.5000 0.5000 0.0000 S
0.5000 0.5000 0.5000 F
```

Results
Symmetry: Pm-3m


Which one sits at the bottom of the stability order? #P does.


#P
The following is a PBE-GGA calculation of an optimized crystal structure of Rb2SF2, from the Alexandria database.

The structure in POSCAR format:
```
Rb2SF2
1.0
-2.8298 2.8298 4.1927
2.8298 -2.8298 4.1927
2.8298 2.8298 -4.1927
Rb S F
2 1 2
Direct
0.2500 0.7500 0.5000 Rb
0.7500 0.2500 0.5000 Rb
0.0000 0.0000 0.0000 S
0.2410 0.2410 0.0000 F
0.7590 0.7590 0.0000 F
```

Results
Symmetry: I4/mmm


#Q
The following is a PBE-GGA calculation of an optimized crystal structure of Rb2SF2, from the Alexandria database.

The structure in POSCAR format:
```
Rb2SF2
1.0
7.8933 0.0000 0.0000
0.0000 7.8933 0.0000
0.0000 0.0000 3.6498
Rb S F
4 2 4
Direct
0.1550 0.3450 0.0000 Rb
0.3450 0.8450 0.0000 Rb
0.6550 0.1550 0.0000 Rb
0.8450 0.6550 0.0000 Rb
0.0000 0.0000 0.5000 S
0.5000 0.5000 0.5000 S
0.1491 0.6491 0.5000 F
0.3509 0.1491 0.5000 F
0.6491 0.8509 0.5000 F
0.8509 0.3509 0.5000 F
```

Results
Symmetry: P4/mbm


Which one sits at the bottom of the stability order? #Q does.


#P
The following is a PBE-GGA calculation of an optimized crystal structure of RbSF2, from the Alexandria database.

The structure in POSCAR format:
```
RbSF2
1.0
0.0000 3.3466 3.3466
3.3466 0.0000 3.3466
3.3466 3.3466 0.0000
Rb S F
1 1 2
Direct
0.0000 0.0000 0.0000 Rb
0.5000 0.5000 0.5000 S
0.2500 0.2500 0.2500 F
0.7500 0.7500 0.7500 F
```

Results
Symmetry: Fm-3m


#Q
The following is a PBE-GGA calculation of an optimized crystal structure of RbSF2, from the Alexandria database.

The structure in POSCAR format:
```
RbSF2
1.0
2.1223 1.2253 6.4173
-2.1223 1.2253 6.4173
0.0000 -2.4506 6.4173
Rb S F
1 1 2
Direct
0.0000 0.0000 0.0000 Rb
0.5000 0.5000 0.5000 S
0.4024 0.4024 0.4024 F
0.5976 0.5976 0.5976 F
```

Results
Symmetry: R-3m


#R
The following is a PBE-GGA calculation of an optimized crystal structure of RbSF2, from the Alexandria database.

The structure in POSCAR format:
```
RbSF2
1.0
-2.4653 2.4653 7.1109
2.4653 -2.4653 7.1109
2.4653 2.4653 -7.1109
Rb S F
2 2 4
Direct
0.0000 0.0000 0.0000 Rb
0.7500 0.2500 0.5000 Rb
0.2500 0.7500 0.5000 S
0.5000 0.5000 0.0000 S
0.2634 0.6250 0.1384 F
0.3750 0.5134 0.6384 F
0.4866 0.1250 0.8616 F
0.8750 0.7366 0.3616 F
```

Results
Symmetry: I-42d


#S
The following is a PBE-GGA calculation of an optimized crystal structure of RbSF2, from the Alexandria database.

The structure in POSCAR format:
```
RbSF2
1.0
1.9762 1.1410 6.1362
-1.9762 1.1410 6.1362
0.0000 -2.2819 6.1362
Rb S F
1 1 2
Direct
0.0000 0.0000 0.0000 Rb
0.5000 0.5000 0.5000 S
0.2453 0.2453 0.2453 F
0.7547 0.7547 0.7547 F
```

Results
Symmetry: R-3m


Which one sits at the bottom of the stability order? #P does.


#P
The following is a PBE-GGA calculation of an optimized crystal structure of Rb4SF2, from the Alexandria database.

The structure in POSCAR format:
```
Rb4SF2
1.0
-3.1219 3.1219 7.9169
3.1219 -3.1219 7.9169
3.1219 3.1219 -7.9169
Rb S F
4 1 2
Direct
0.0000 0.5000 0.5000 Rb
0.1985 0.1985 0.0000 Rb
0.5000 0.0000 0.5000 Rb
0.8015 0.8015 0.0000 Rb
0.0000 0.0000 0.0000 S
0.3590 0.3590 0.0000 F
0.6410 0.6410 0.0000 F
```

Results
Symmetry: I4/mmm


#Q
The following is a PBE-GGA calculation of an optimized crystal structure of Rb4SF2, from the Alexandria database.

The structure in POSCAR format:
```
Rb4SF2
1.0
2.2136 -6.7342 0.0000
2.2136 6.7342 0.0000
0.0000 0.0000 13.9781
Rb S F
8 2 4
Direct
0.0000 0.0000 0.0000 Rb
0.0000 0.0000 0.5000 Rb
0.2753 0.7247 0.6136 Rb
0.2753 0.7247 0.8864 Rb
0.4424 0.5576 0.2500 Rb
0.5576 0.4424 0.7500 Rb
0.7247 0.2753 0.1136 Rb
0.7247 0.2753 0.3864 Rb
0.1122 0.8878 0.2500 S
0.8878 0.1122 0.7500 S
0.3698 0.6302 0.0598 F
0.3698 0.6302 0.4402 F
0.6302 0.3698 0.5598 F
0.6302 0.3698 0.9402 F
```

Results
Symmetry: Cmcm


Which one sits at the bottom of the stability order? #P does.


#P
The following is a PBE-GGA calculation of an optimized crystal structure of Rb3SF, from the Alexandria database.

The structure in POSCAR format:
```
Rb3SF
1.0
5.4648 0.0000 0.0000
0.0000 7.5870 0.0000
0.0000 0.0000 7.5879
Rb S F
6 2 2
Direct
0.0000 0.0661 0.0000 Rb
0.0000 0.4325 0.6336 Rb
0.0000 0.5675 0.1336 Rb
0.0000 0.9339 0.5000 Rb
0.5000 0.2491 0.3159 Rb
0.5000 0.7509 0.8159 Rb
0.5000 0.2482 0.8150 S
0.5000 0.7518 0.3150 S
0.0000 0.2506 0.3161 F
0.0000 0.7494 0.8161 F
```

Results
Symmetry: Pmc2_1


#Q
The following is a PBE-GGA calculation of an optimized crystal structure of Rb3SF, from the Alexandria database.

The structure in POSCAR format:
```
Rb3SF
1.0
7.6216 -6.2064 0.0000
7.6216 6.2064 0.0000
-1.9811 0.0000 8.0451
Rb S F
12 4 4
Direct
0.0088 0.7772 0.8678 Rb
0.1024 0.6436 0.4136 Rb
0.2228 0.9912 0.6322 Rb
0.3358 0.4132 0.0036 Rb
0.3564 0.8976 0.0864 Rb
0.4132 0.3358 0.5036 Rb
0.5868 0.6642 0.4964 Rb
0.6436 0.1024 0.9136 Rb
0.6642 0.5868 0.9964 Rb
0.7772 0.0088 0.3678 Rb
0.8976 0.3564 0.5864 Rb
0.9912 0.2228 0.1322 Rb
0.0872 0.9128 0.2500 S
0.3441 0.6559 0.7500 S
0.6559 0.3441 0.2500 S
0.9128 0.0872 0.7500 S
0.1896 0.3894 0.2516 F
0.3894 0.1896 0.7516 F
0.6106 0.8104 0.2484 F
0.8104 0.6106 0.7484 F
```

Results
Symmetry: C2/c


Which one sits at the bottom of the stability order? #Q does.


#P
The following is a PBE-GGA calculation of an optimized crystal structure of RbSbF2, from the Alexandria database.

The structure in POSCAR format:
```
RbSbF2
1.0
0.0000 3.4884 3.4884
3.4884 0.0000 3.4884
3.4884 3.4884 0.0000
Rb Sb F
1 1 2
Direct
0.0000 0.0000 0.0000 Rb
0.5000 0.5000 0.5000 Sb
0.2500 0.2500 0.2500 F
0.7500 0.7500 0.7500 F
```

Results
Symmetry: Fm-3m


#Q
The following is a PBE-GGA calculation of an optimized crystal structure of RbSbF2, from the Alexandria database.

The structure in POSCAR format:
```
RbSbF2
1.0
-3.4921 3.4921 3.7905
3.4921 -3.4921 3.7905
3.4921 3.4921 -3.7905
Rb Sb F
2 2 4
Direct
0.0000 0.0000 0.0000 Rb
0.7500 0.2500 0.5000 Rb
0.2500 0.7500 0.5000 Sb
0.5000 0.5000 0.0000 Sb
0.1610 0.6250 0.0360 F
0.3750 0.4110 0.5360 F
0.5890 0.1250 0.9640 F
0.8750 0.8390 0.4640 F
```

Results
Symmetry: I-42d


#R
The following is a PBE-GGA calculation of an optimized crystal structure of RbSbF2, from the Alexandria database.

The structure in POSCAR format:
```
RbSbF2
1.0
1.8570 1.0721 7.8074
-1.8570 1.0721 7.8074
0.0000 -2.1443 7.8074
Rb Sb F
1 1 2
Direct
0.0000 0.0000 0.0000 Rb
0.5000 0.5000 0.5000 Sb
0.4059 0.4059 0.4059 F
0.5941 0.5941 0.5941 F
```

Results
Symmetry: R-3m


Which one sits at the bottom of the stability order? #P does.


#P
The following is a PBE-GGA calculation of an optimized crystal structure of RbSbF3, from the Alexandria database.

The structure in POSCAR format:
```
RbSbF3
1.0
-3.1772 3.1772 5.9637
3.1772 -3.1772 5.9637
3.1772 3.1772 -5.9637
Rb Sb F
2 2 6
Direct
0.2500 0.7500 0.5000 Rb
0.7500 0.2500 0.5000 Rb
0.0000 0.0000 0.0000 Sb
0.5000 0.5000 0.0000 Sb
0.1817 0.1817 0.0000 F
0.2446 0.2446 0.4891 F
0.2446 0.7554 0.0000 F
0.7554 0.2446 0.0000 F
0.7554 0.7554 0.5109 F
0.8183 0.8183 0.0000 F
```

Results
Symmetry: I4/mmm


#Q
The following is a PBE-GGA calculation of an optimized crystal structure of RbSbF3, from the Alexandria database.

The structure in POSCAR format:
```
RbSbF3
1.0
4.7359 0.0000 0.0000
0.0000 4.7359 0.0000
0.0000 0.0000 4.7359
Rb Sb F
1 1 3
Direct
0.0000 0.0000 0.0000 Rb
0.5000 0.5000 0.5000 Sb
0.0000 0.5000 0.5000 F
0.5000 0.0000 0.5000 F
0.5000 0.5000 0.0000 F
```

Results
Symmetry: Pm-3m


#R
The following is a PBE-GGA calculation of an optimized crystal structure of RbSbF3, from the Alexandria database.

The structure in POSCAR format:
```
RbSbF3
1.0
7.2767 -3.4258 0.0000
7.2767 3.4258 0.0000
-1.2281 0.0000 4.4863
Rb Sb F
2 2 6
Direct
0.1586 0.1586 0.0964 Rb
0.8414 0.8414 0.9036 Rb
0.4161 0.4161 0.6394 Sb
0.5839 0.5839 0.3606 Sb
0.1271 0.5650 0.3529 F
0.2686 0.7314 0.0000 F
0.4350 0.8729 0.6471 F
0.5650 0.1271 0.3529 F
0.7314 0.2686 0.0000 F
0.8729 0.4350 0.6471 F
```

Results
Symmetry: C2/m


#S
The following is a PBE-GGA calculation of an optimized crystal structure of RbSbF3, from the Alexandria database.

The structure in POSCAR format:
```
RbSbF3
1.0
4.9271 0.0000 0.0000
0.0000 4.9271 0.0000
0.0000 0.0000 4.9271
Rb Sb F
1 1 3
Direct
0.0000 0.0000 0.0000 Rb
0.5000 0.5000 0.5000 Sb
0.0000 0.0000 0.5000 F
0.0000 0.5000 0.0000 F
0.5000 0.0000 0.0000 F
```

Results
Symmetry: Pm-3m


Which one sits at the bottom of the stability order? #S does.